Below is a relaxed LiHgSe crystal, with properties calculated at the PBE level.

The calculation puts the final energy at -2.229 eV/atom. The value obtained for the total moment is 0.0 μB per formula unit. For the energy above the most stable polymorph in this dataset, the calculation gives 159.9 meV/atom. For the uncorrected formation energy, the calculation gives -329 meV/atom.

It has space group P3m1 (No. 156), with a = 3.3593 Å, b = 3.3593 Å, c = 6.5897 Å, α = 90.00°, β = 90.00° and γ = 120.00°. Symmetry generates all atoms from Li at (0.0000, 0.0000, 0.0000), Hg at (0.3333, 0.6667, 0.6677) and Se at (0.6667, 0.3333, 0.2612).



Below is a relaxed NaMo2Pd crystal, with properties calculated at the PBE level.

Its energy of formation from the pure elements is 103 kJ per mole of atoms. The calculation puts the final energy at -5.980 eV/atom. The value obtained for the total moment is 0.0 μB per formula unit. For the energy above the most stable polymorph in this dataset, the calculation gives 0.0 meV/atom.

It has space group Fm-3m (No. 225), with a = 6.388 Å, b = 6.388 Å, c = 6.388 Å, α = 90.00°, β = 90.00° and γ = 90.00°. Symmetry generates all atoms from Na at (0.000, 0.000, 0.000), Mo at (0.250, 0.250, 0.250) and Pd at (0.000, 0.000, 0.500).